Record 1
AcGd2C, relaxed, DFT PBE; energy of formation = -0.070 eV/atom; space group = No. 166; calculated density = 7.81 g/cm³; D(E_F) = 0.8785 states/eV per atom; raw total energy = -10.44 eV per atom
1.0
3.653 0.000 0.000
-1.826 3.163 0.000
0.000 0.000 30.548
Ac Gd C
3 6 3
direct
0.000 0.000 0.000
0.333 0.667 0.667
0.667 0.333 0.333
0.000 0.000 0.122
0.000 0.000 0.878
0.333 0.667 0.544
0.333 0.667 0.789
0.667 0.333 0.211
0.667 0.333 0.456
0.000 0.000 0.500
0.333 0.667 0.167
0.667 0.333 0.833

***

Record 2
CsNa2MgP, relaxed, DFT PBE; energy of formation = -0.075 eV/atom; space group = No. 123; calculated density = 2.17 g/cm³; D(E_F) = 0.3792 states/eV per atom; raw total energy = -2.17 eV per atom
1.0
5.806 0.000 0.000
0.000 5.806 0.000
0.000 0.000 5.304
Cs Na Mg P
1 2 1 1
direct
0.000 0.000 0.000
0.000 0.500 0.500
0.500 0.000 0.500
0.500 0.500 0.000
0.500 0.500 0.500